(one)
The following is a DFT calculation (PBE-GGA) of a relaxed structure of Be2AgAu2.

a = 6.746 Å, b = 6.746 Å, c = 6.746 Å
α = 150.40°, β = 150.40°, γ = 42.36°
Fractional positions:
Be  0.250  0.750  0.500
Be  0.750  0.250  0.500
Ag  0.000  0.000  0.000
Au  0.377  0.377  0.000
Au  0.623  0.623  0.000

As for the symmetry: I4/mmm.

(two)
The following is a DFT calculation (PBE-GGA) of a relaxed structure of Be2AgAu2.

a = 6.906 Å, b = 6.906 Å, c = 2.923 Å
α = 90.00°, β = 90.00°, γ = 90.00°
Fractional positions:
Be  0.132  0.368  0.000
Be  0.368  0.868  0.000
Be  0.632  0.132  0.000
Be  0.868  0.632  0.000
Ag  0.000  0.000  0.000
Ag  0.500  0.500  0.000
Au  0.158  0.658  0.500
Au  0.342  0.158  0.500
Au  0.658  0.842  0.500
Au  0.842  0.342  0.500

As for the symmetry: P4/mbm.

Energies in eV/atom, measured from the most stable structure: (one) 0.039; (two) 0.000.

(one)
The following is a DFT calculation (PBE-GGA) of a relaxed structure of BeAgIrAu.

a = 2.836 Å, b = 2.836 Å, c = 7.258 Å
α = 90.00°, β = 90.00°, γ = 90.00°
Fractional positions:
Be  0.000  0.000  0.000
Ag  0.000  0.000  0.541
Ir  0.500  0.500  0.834
Au  0.500  0.500  0.235

As for the symmetry: P4mm.

(two)
The following is a DFT calculation (PBE-GGA) of a relaxed structure of BeAgIrAu.

a = 3.819 Å, b = 4.050 Å, c = 4.039 Å
α = 90.00°, β = 90.00°, γ = 90.00°
Fractional positions:
Be  0.000  0.000  0.000
Ag  0.500  0.500  0.177
Ir  0.500  0.000  0.676
Au  0.000  0.500  0.670

As for the symmetry: Pmm2.

Energies in eV/atom, measured from the most stable structure: (one) 0.000; (two) 0.294.

(one)
The following is a DFT calculation (PBE-GGA) of a relaxed structure of BeAgIrAu.

a = 2.879 Å, b = 2.879 Å, c = 7.087 Å
α = 90.00°, β = 90.00°, γ = 90.00°
Fractional positions:
Be  0.000  0.000  0.000
Ag  0.500  0.500  0.750
Ir  0.500  0.500  0.153
Au  0.000  0.000  0.448

As for the symmetry: P4mm.

(two)
The following is a DFT calculation (PBE-GGA) of a relaxed structure of BeAgIrAu.

a = 2.838 Å, b = 2.838 Å, c = 8.493 Å
α = 90.00°, β = 90.00°, γ = 120.00°
Fractional positions:
Be  0.000  0.000  0.000
Ag  0.000  0.000  0.476
Ir  0.333  0.667  0.191
Au  0.667  0.333  0.773

As for the symmetry: P3m1.

(three)
The following is a DFT calculation (PBE-GGA) of a relaxed structure of BeAgIrAu.

a = 2.846 Å, b = 2.846 Å, c = 8.585 Å
α = 99.64°, β = 99.64°, γ = 59.93°
Fractional positions:
Be  0.000  0.000  0.000
Ag  0.841  0.841  0.522
Ir  0.270  0.270  0.811
Au  0.408  0.408  0.223

As for the symmetry: Cm.

Energies in eV/atom, measured from the most stable structure: (one) 0.011; (two) 0.037; (three) 0.000.